Record 1
Ga2SnAu | GGA-PBE | optimized geometry

uncorrected energy: -3.37 eV per atom
mass density: 8414 kg/m³
ΔH_f (0 K): -36 meV/atom

Cell lengths 4.5832, 4.5832, 9.1453 Å; angles 75.49, 75.49, 90.00 degrees
Atoms (fractional coordinates):
Au  0.0000  0.0000  0.0000
Au  0.7500  0.2500  0.5000
Sn  0.5000  0.5000  0.0000
Sn  0.2500  0.7500  0.5000
Ga  0.6847  0.1250  0.2500
Ga  0.0653  0.6250  0.2500
Ga  0.3750  0.3153  0.7500
Ga  0.8750  0.9347  0.7500

---

Record 2
GaSn3Au2 | GGA-PBE | optimized geometry

uncorrected energy: -3.68 eV per atom
mass density: 9458 kg/m³
ΔH_f (0 K): -85 meV/atom

Cell lengths 11.1235, 6.8561, 8.3450 Å; angles 90.00, 115.22, 90.00 degrees
Atoms (fractional coordinates):
Ga  0.5569  0.7433  0.3452
Ga  0.9431  0.2433  0.1548
Ga  0.4431  0.2567  0.6548
Ga  0.0569  0.7567  0.8452
Sn  0.1570  0.1196  0.0262
Sn  0.3430  0.6196  0.4738
Sn  0.8430  0.8804  0.9738
Sn  0.6570  0.3804  0.5262
Sn  0.3328  0.5499  0.0550
Sn  0.1672  0.0499  0.4450
Sn  0.6672  0.4501  0.9450
Sn  0.8328  0.9501  0.5550
Sn  0.0112  0.6548  0.3785
Sn  0.4888  0.1548  0.1215
Sn  0.9888  0.3452  0.6215
Sn  0.5112  0.8452  0.8785
Au  0.7372  0.7644  0.2214
Au  0.7628  0.2644  0.2786
Au  0.2628  0.2356  0.7786
Au  0.2372  0.7356  0.7214
Au  0.3740  0.9958  0.3381
Au  0.1260  0.4958  0.1619
Au  0.6260  0.0042  0.6619
Au  0.8740  0.5042  0.8381

---

Record 3
Ga2SnAu2 | GGA-PBE | optimized geometry

uncorrected energy: -3.46 eV per atom
mass density: 10602 kg/m³
ΔE to the lowest computed polymorph: 0.033 eV per atom
ΔH_f (0 K): -135 meV/atom

Cell lengths 4.0134, 4.0134, 6.9469 Å; angles 73.21, 73.21, 90.00 degrees
Atoms (fractional coordinates):
Au  0.3895  0.3895  0.2210
Au  0.6105  0.6105  0.7790
Sn  0.0000  0.0000  0.0000
Ga  0.7500  0.2500  0.5000
Ga  0.2500  0.7500  0.5000

---

Record 4
Ga3Sn5Au12 | GGA-PBE | optimized geometry

uncorrected energy: -3.43 eV per atom
mass density: 10719 kg/m³
ΔH_f (0 K): -8 meV/atom

Cell lengths 13.6597, 13.6597, 13.6597 Å; angles 109.47, 109.47, 109.47 degrees
Atoms (fractional coordinates):
Ga  0.7500  0.3750  0.1250
Ga  0.8750  0.7500  0.1250
Ga  0.3750  0.7500  0.6250
Ga  0.2500  0.1250  0.3750
Ga  0.8750  0.1250  0.2500
Ga  0.3750  0.6250  0.2500
Ga  0.6250  0.3750  0.7500
Ga  0.1250  0.8750  0.7500
Ga  0.7500  0.8750  0.6250
Ga  0.6250  0.2500  0.3750
Ga  0.1250  0.2500  0.8750
Ga  0.2500  0.6250  0.8750
Sn  0.1250  0.3750  0.2500
Sn  0.0000  0.5000  0.0000
Sn  0.0000  0.0000  0.0000
Sn  0.3750  0.2500  0.1250
Sn  0.5000  0.0000  0.5000
Sn  0.5000  0.5000  0.0000
Sn  0.1250  0.7500  0.3750
Sn  0.7500  0.1250  0.8750
Sn  0.7500  0.6250  0.3750
Sn  0.3750  0.1250  0.7500
Sn  0.6250  0.8750  0.2500
Sn  0.5000  0.5000  0.5000
Sn  0.5000  0.0000  0.0000
Sn  0.0000  0.0000  0.5000
Sn  0.2500  0.3750  0.6250
Sn  0.2500  0.8750  0.1250
Sn  0.0000  0.5000  0.5000
Sn  0.8750  0.2500  0.6250
Sn  0.6250  0.7500  0.8750
Sn  0.8750  0.6250  0.7500
Au  0.7360  0.1386  0.0719
Au  0.3359  0.5719  0.4333
Au  0.9281  0.3614  0.2640
Au  0.5719  0.2360  0.1386
Au  0.5974  0.7360  0.6641
Au  0.9281  0.5667  0.1641
Au  0.3359  0.7640  0.4026
Au  0.0667  0.9026  0.1386
Au  0.5667  0.9281  0.6641
Au  0.7360  0.5974  0.1641
Au  0.7640  0.4281  0.3614
Au  0.8359  0.9333  0.0719
Au  0.1386  0.7360  0.5719
Au  0.3614  0.4333  0.0974
Au  0.0974  0.9333  0.3614
Au  0.4026  0.1386  0.5667
Au  0.0974  0.1641  0.2360
Au  0.4281  0.6641  0.0667
Au  0.8359  0.9026  0.2640
Au  0.1386  0.4026  0.0667
Au  0.3614  0.9281  0.7640
Au  0.5667  0.6386  0.4026
Au  0.9333  0.8359  0.5719
Au  0.7640  0.3359  0.9026
Au  0.4333  0.3614  0.5974
Au  0.0667  0.1641  0.4281
Au  0.2360  0.6641  0.0974
Au  0.1641  0.0974  0.7360
Au  0.6386  0.0719  0.2360
Au  0.8614  0.5974  0.9333
Au  0.5719  0.3359  0.9333
Au  0.5974  0.8614  0.4333
Au  0.9026  0.8359  0.7640
Au  0.9026  0.0667  0.6386
Au  0.8614  0.2640  0.4281
Au  0.1641  0.0667  0.9281
Au  0.6386  0.5667  0.9026
Au  0.4333  0.0719  0.3359
Au  0.2640  0.4026  0.8359
Au  0.2360  0.5719  0.6386
Au  0.9333  0.0974  0.8614
Au  0.6641  0.2360  0.5974
Au  0.4281  0.7640  0.8614
Au  0.0719  0.4333  0.8359
Au  0.4026  0.2640  0.3359
Au  0.0719  0.6386  0.7360
Au  0.6641  0.4281  0.5667
Au  0.2640  0.8614  0.9281

---

Record 5
GaSn2Au2 | GGA-PBE | optimized geometry

uncorrected energy: -3.48 eV per atom
mass density: 9188 kg/m³
ΔE to the lowest computed polymorph: 0.178 eV per atom
ΔH_f (0 K): 40 meV/atom

Cell lengths 4.5737, 4.5737, 6.8666 Å; angles 70.55, 70.55, 90.00 degrees
Atoms (fractional coordinates):
Au  0.7500  0.2500  0.5000
Au  0.2500  0.7500  0.5000
Sn  0.3792  0.3792  0.2416
Sn  0.6208  0.6208  0.7584
Ga  0.0000  0.0000  0.0000

---

Record 6
Ga3SnAu | GGA-PBE | optimized geometry

uncorrected energy: -3.09 eV per atom
mass density: 6871 kg/m³
ΔE to the lowest computed polymorph: 0.000 eV per atom
ΔH_f (0 K): 179 meV/atom

Cell lengths 5.0245, 5.0245, 5.0245 Å; angles 90.00, 90.00, 90.00 degrees
Atoms (fractional coordinates):
Au  0.0000  0.0000  0.0000
Sn  0.5000  0.5000  0.5000
Ga  0.0000  0.5000  0.0000
Ga  0.0000  0.0000  0.5000
Ga  0.5000  0.0000  0.0000

---

Record 7
Ga2Sn2Au3 | GGA-PBE | optimized geometry

uncorrected energy: -3.52 eV per atom
mass density: 9041 kg/m³
ΔH_f (0 K): -105 meV/atom

Cell lengths 4.3956, 6.3962, 6.8660 Å; angles 102.88, 108.67, 90.00 degrees
Atoms (fractional coordinates):
Ga  0.8301  0.6856  0.6601
Ga  0.1699  0.3144  0.3399
Sn  0.6158  0.8889  0.2316
Sn  0.3842  0.1111  0.7684
Au  0.0000  0.0000  0.0000
Au  0.7828  0.2698  0.5655
Au  0.2172  0.7302  0.4345

---

Record 8
Ga5Sn2Au12 | GGA-PBE | optimized geometry

uncorrected energy: -3.41 eV per atom
mass density: 13022 kg/m³
ΔH_f (0 K): -118 meV/atom

Cell lengths 8.2045, 7.2312, 7.4015 Å; angles 60.76, 80.43, 90.00 degrees
Atoms (fractional coordinates):
Ga  0.5993  0.7965  0.4070
Ga  0.9254  0.7152  0.5695
Ga  0.5000  0.0000  0.0000
Ga  0.0746  0.2848  0.4305
Ga  0.4007  0.2035  0.5930
Sn  0.0000  0.2317  0.0000
Sn  0.0000  0.7683  0.0000
Au  0.8111  0.1080  0.7840
Au  0.2057  0.9036  0.6008
Au  0.2057  0.4956  0.6008
Au  0.5197  0.8182  0.7650
Au  0.5197  0.4168  0.7650
Au  0.2473  0.4830  0.0341
Au  0.7527  0.5170  0.9659
Au  0.4803  0.1818  0.2350
Au  0.4803  0.5832  0.2350
Au  0.7943  0.0964  0.3992
Au  0.7943  0.5044  0.3992
Au  0.1889  0.8920  0.2160

---

Record 9
GaSnAu6 | GGA-PBE | optimized geometry

uncorrected energy: -3.39 eV per atom
mass density: 14809 kg/m³
ΔE to the lowest computed polymorph: 0.000 eV per atom
ΔH_f (0 K): -51 meV/atom

Cell lengths 7.6339, 7.7028, 5.3811 Å; angles 44.10, 44.30, 60.51 degrees
Atoms (fractional coordinates):
Ga  0.0000  0.0000  0.0000
Sn  0.5000  0.5000  0.5000
Au  0.0274  0.5658  0.6517
Au  0.7560  0.0377  0.6345
Au  0.4369  0.2450  0.3467
Au  0.2440  0.9623  0.3655
Au  0.9726  0.4342  0.3483
Au  0.5631  0.7550  0.6533

---

Record 10
Ga2SnAu2 | GGA-PBE | optimized geometry

uncorrected energy: -3.37 eV per atom
mass density: 10694 kg/m³
ΔE to the lowest computed polymorph: 0.125 eV per atom
ΔH_f (0 K): -43 meV/atom

Cell lengths 8.1831, 8.1831, 3.0241 Å; angles 90.00, 90.00, 90.00 degrees
Atoms (fractional coordinates):
Au  0.1572  0.6572  0.5000
Au  0.6572  0.8428  0.5000
Au  0.8428  0.3428  0.5000
Au  0.3428  0.1572  0.5000
Sn  0.0000  0.0000  0.0000
Sn  0.5000  0.5000  0.0000
Ga  0.3636  0.8636  0.0000
Ga  0.8636  0.6364  0.0000
Ga  0.6364  0.1364  0.0000
Ga  0.1364  0.3636  0.0000

---

Record 11
Ga2SnAu8 | GGA-PBE | optimized geometry

uncorrected energy: -3.37 eV per atom
mass density: 14342 kg/m³
ΔE to the lowest computed polymorph: 0.012 eV per atom
ΔH_f (0 K): -72 meV/atom

Cell lengths 4.7812, 8.4708, 6.9271 Å; angles 52.31, 79.72, 73.02 degrees
Atoms (fractional coordinates):
Ga  0.0000  0.3599  0.2802
Ga  0.0000  0.6401  0.7198
Sn  0.5000  0.0000  0.0000
Au  0.9475  0.0459  0.2712
Au  0.9475  0.3171  0.7288
Au  0.4358  0.3419  0.0000
Au  0.5000  0.7425  0.5150
Au  0.5000  0.2575  0.4850
Au  0.5642  0.6581  0.0000
Au  0.0525  0.6829  0.2712
Au  0.0525  0.9541  0.7288

---

Record 12
Ga12Sn3Au5 | GGA-PBE | optimized geometry

uncorrected energy: -3.22 eV per atom
mass density: 7457 kg/m³
ΔH_f (0 K): 18 meV/atom

Cell lengths 13.6079, 13.6079, 13.6079 Å; angles 109.47, 109.47, 109.47 degrees
Atoms (fractional coordinates):
Sn  0.7500  0.3750  0.1250
Sn  0.8750  0.7500  0.1250
Sn  0.3750  0.7500  0.6250
Sn  0.2500  0.1250  0.3750
Sn  0.8750  0.1250  0.2500
Sn  0.3750  0.6250  0.2500
Sn  0.6250  0.3750  0.7500
Sn  0.1250  0.8750  0.7500
Sn  0.7500  0.8750  0.6250
Sn  0.6250  0.2500  0.3750
Sn  0.1250  0.2500  0.8750
Sn  0.2500  0.6250  0.8750
Au  0.1250  0.3750  0.2500
Au  0.0000  0.5000  0.0000
Au  0.0000  0.0000  0.0000
Au  0.3750  0.2500  0.1250
Au  0.5000  0.0000  0.5000
Au  0.5000  0.5000  0.0000
Au  0.1250  0.7500  0.3750
Au  0.7500  0.1250  0.8750
Au  0.7500  0.6250  0.3750
Au  0.3750  0.1250  0.7500
Au  0.6250  0.8750  0.2500
Au  0.5000  0.5000  0.5000
Au  0.5000  0.0000  0.0000
Au  0.0000  0.0000  0.5000
Au  0.2500  0.3750  0.6250
Au  0.2500  0.8750  0.1250
Au  0.0000  0.5000  0.5000
Au  0.8750  0.2500  0.6250
Au  0.6250  0.7500  0.8750
Au  0.8750  0.6250  0.7500
Ga  0.7206  0.1270  0.0501
Ga  0.3295  0.5501  0.4231
Ga  0.9499  0.3730  0.2794
Ga  0.5501  0.2206  0.1270
Ga  0.5936  0.7206  0.6705
Ga  0.9499  0.5769  0.1705
Ga  0.3295  0.7794  0.4064
Ga  0.0769  0.9064  0.1270
Ga  0.5769  0.9499  0.6705
Ga  0.7206  0.5936  0.1705
Ga  0.7794  0.4499  0.3730
Ga  0.8295  0.9231  0.0501
Ga  0.1270  0.7206  0.5501
Ga  0.3730  0.4231  0.0936
Ga  0.0936  0.9231  0.3730
Ga  0.4064  0.1270  0.5769
Ga  0.0936  0.1705  0.2206
Ga  0.4499  0.6705  0.0769
Ga  0.8295  0.9064  0.2794
Ga  0.1270  0.4064  0.0769
Ga  0.3730  0.9499  0.7794
Ga  0.5769  0.6270  0.4064
Ga  0.9231  0.8295  0.5501
Ga  0.7794  0.3295  0.9064
Ga  0.4231  0.3730  0.5936
Ga  0.0769  0.1705  0.4499
Ga  0.2206  0.6705  0.0936
Ga  0.1705  0.0936  0.7206
Ga  0.6270  0.0501  0.2206
Ga  0.8730  0.5936  0.9231
Ga  0.5501  0.3295  0.9231
Ga  0.5936  0.8730  0.4231
Ga  0.9064  0.8295  0.7794
Ga  0.9064  0.0769  0.6270
Ga  0.8730  0.2794  0.4499
Ga  0.1705  0.0769  0.9499
Ga  0.6270  0.5769  0.9064
Ga  0.4231  0.0501  0.3295
Ga  0.2794  0.4064  0.8295
Ga  0.2206  0.5501  0.6270
Ga  0.9231  0.0936  0.8730
Ga  0.6705  0.2206  0.5936
Ga  0.4499  0.7794  0.8730
Ga  0.0501  0.4231  0.8295
Ga  0.4064  0.2794  0.3295
Ga  0.0501  0.6270  0.7206
Ga  0.6705  0.4499  0.5769
Ga  0.2794  0.8730  0.9499